# BeVSe

A relaxed BeVSe crystal (GGA-PBE, Alexandria).

Values from the calculation:
distance to the lowest polymorph of the same formula: 4.5 kJ/mol of atoms
crystal system: monoclinic

Lattice parameters (Å, degrees): 3.8133 3.3704 8.2588 90.00 102.57 90.00
Last column: nearest neighbours and their distance in Å.
Space group P2_1/m (No. 11)
Asymmetric unit:
Be  0.0515  0.2500  0.1096 [2 per cell]  2 Se 2.30, 2 Be 2.44, 4 V 2.54
V  0.4482  0.2500  0.8900 [2 per cell]  2 V 2.45, 2 Se 2.47, 6 Be 2.54-2.60
Se  0.1432  0.7500  0.3042 [2 per cell]  2 Be 2.30, 2 V 2.47

---

# Sm2ZnAs

A relaxed Sm2ZnAs crystal (GGA-PBE, Alexandria).

Values from the calculation:
distance to the lowest polymorph of the same formula: 36.2 kJ/mol of atoms
formation energy: -0.37 eV per atom
crystal system: trigonal

Lattice parameters (Å, degrees): 3.9809 3.9809 28.9278 90.00 90.00 120.00
Last column: nearest neighbours and their distance in Å.
Space group R-3m (No. 166, hexagonal axes)
Asymmetric unit:
Sm  0.0000  0.0000  0.1078 [6 per cell]  3 As 2.86, 1 Zn 3.12
Zn  0.0000  0.0000  0.0000 [3 per cell]  2 Sm 3.12
As  0.0000  0.0000  0.5000 [3 per cell]  6 Sm 2.86

---

# K3Ce

A relaxed K3Ce crystal (GGA-PBE, Alexandria).

Values from the calculation:
distance to the lowest polymorph of the same formula: 0.0 kJ/mol of atoms
formation energy: 0.64 eV per atom
crystal system: hexagonal

Lattice parameters (Å, degrees): 8.7693 8.7693 7.2433 90.00 90.00 120.00
Last column: nearest neighbours and their distance in Å.
Space group P6_3/mmc (No. 194)
Asymmetric unit:
K  0.1703  0.3405  0.2500 [6 per cell]  8 K 4.29-4.48, 4 Ce 4.38-4.39
Ce  0.3333  0.6667  0.7500 [2 per cell]  12 K 4.38-4.39

---

# CuHg2As2

A relaxed CuHg2As2 crystal (GGA-PBE, Alexandria).

Values from the calculation:
distance to the lowest polymorph of the same formula: 28.1 kJ/mol of atoms
formation energy: 0.38 eV per atom
crystal system: tetragonal

Lattice parameters (Å, degrees): 3.6127 3.6127 17.0971 90.00 90.00 90.00
Last column: nearest neighbours and their distance in Å.
Space group I4/mmm (No. 139)
Asymmetric unit:
Cu  0.0000  0.0000  0.0000 [2 per cell]  8 Hg 2.96
Hg  0.0000  0.0000  0.4121 [4 per cell]  4 Cu 2.96, 1 Hg 3.00, 4 As 3.31
As  0.0000  0.5000  0.2500 [4 per cell]  4 As 2.55

---

| no. | calculated volume (Å³/f.u.) |
| --- | --- |
| 1 | 51.80 |
| 2 | 132.34 |
| 3 | 241.19 |
| 4 | 111.57 |